Record 1
This record from OQMD via LeMat-Bulk describes Zr2Te2ICl after structural relaxation. The functional is GGA-PBE.

Cell and atoms, written as CIF:
```
data_Zr2Te2ICl
_cell_length_a 13.6803
_cell_length_b 4.5977
_cell_length_c 7.8155
_cell_angle_alpha 90.00
_cell_angle_beta 110.12
_cell_angle_gamma 90.00
_symmetry_space_group_name_H-M 'C 1 m 1'
_symmetry_Int_Tables_number 8
_symmetry_space_group_name_Hall 'C -2y'
loop_
_atom_site_label
_atom_site_type_symbol
_atom_site_fract_x
_atom_site_fract_y
_atom_site_fract_z
Zr1 Zr 0.0000 0.0000 0.0000
Zr2 Zr 0.2065 0.5000 0.0784
Te1 Te 0.0018 0.5000 0.7961
Te2 Te 0.2022 0.0000 0.2819
I1 I 0.4360 0.5000 0.3142
Cl1 Cl 0.2879 0.5000 0.8351
```

Summary:
Magnetization   0.01 μB per formula unit

Record 2
This record from OQMD via LeMat-Bulk describes UI2Cl2 after structural relaxation. The functional is GGA-PBE.

Cell and atoms, written as CIF:
```
data_UI2Cl2
_cell_length_a 8.7764
_cell_length_b 9.0049
_cell_length_c 10.2444
_cell_angle_alpha 90.00
_cell_angle_beta 90.00
_cell_angle_gamma 90.00
_symmetry_space_group_name_H-M 'I m m m'
_symmetry_Int_Tables_number 71
_symmetry_space_group_name_Hall '-I 2 2'
loop_
_atom_site_label
_atom_site_type_symbol
_atom_site_fract_x
_atom_site_fract_y
_atom_site_fract_z
U1 U 0.2478 0.0000 0.0000
I1 I 0.0000 0.0000 0.2121
I2 I 0.0000 0.5000 0.2917
Cl1 Cl 0.2460 0.2782 0.0000
```

Summary:
Magnetization   2.00 μB per formula unit

Record 3
This record from OQMD via LeMat-Bulk describes WI3Cl after structural relaxation. The functional is GGA-PBE.

Cell and atoms, written as CIF:
```
data_WI3Cl
_cell_length_a 13.7959
_cell_length_b 7.0499
_cell_length_c 9.6406
_cell_angle_alpha 90.00
_cell_angle_beta 130.67
_cell_angle_gamma 90.00
_symmetry_space_group_name_H-M 'C 1 2/m 1'
_symmetry_Int_Tables_number 12
_symmetry_space_group_name_Hall '-C 2y'
loop_
_atom_site_label
_atom_site_type_symbol
_atom_site_fract_x
_atom_site_fract_y
_atom_site_fract_z
W1 W 0.0000 0.1930 0.0000
I1 I 0.0290 0.2384 0.3038
I2 I 0.1809 0.5000 0.1468
Cl1 Cl 0.1858 0.0000 0.1514
```

Summary:
Magnetization   0.27 μB per formula unit

Record 4
This record from OQMD via LeMat-Bulk describes WICl3 after structural relaxation. The functional is GGA-PBE.

Cell and atoms, written as CIF:
```
data_WICl3
_cell_length_a 13.0829
_cell_length_b 6.9278
_cell_length_c 8.5764
_cell_angle_alpha 90.00
_cell_angle_beta 129.91
_cell_angle_gamma 90.00
_symmetry_space_group_name_H-M 'C 1 2/m 1'
_symmetry_Int_Tables_number 12
_symmetry_space_group_name_Hall '-C 2y'
loop_
_atom_site_label
_atom_site_type_symbol
_atom_site_fract_x
_atom_site_fract_y
_atom_site_fract_z
W1 W 0.0000 0.1911 0.0000
I1 I 0.1896 0.5000 0.1648
Cl1 Cl 0.0217 0.2267 0.2880
Cl2 Cl 0.1970 0.0000 0.1710
```

Summary:
Magnetization   0.00 μB per formula unit

Record 5
This record from OQMD via LeMat-Bulk describes Zr2I3Cl3 after structural relaxation. The functional is GGA-PBE.

Cell and atoms, written as CIF:
```
data_Zr2I3Cl3
_cell_length_a 7.3236
_cell_length_b 7.3236
_cell_length_c 6.3005
_cell_angle_alpha 90.00
_cell_angle_beta 90.00
_cell_angle_gamma 120.00
_symmetry_space_group_name_H-M 'P -6 2 m'
_symmetry_Int_Tables_number 189
_symmetry_space_group_name_Hall 'P -6 -2'
loop_
_atom_site_label
_atom_site_type_symbol
_atom_site_fract_x
_atom_site_fract_y
_atom_site_fract_z
Zr1 Zr 0.0000 0.0000 0.2479
I1 I 0.0000 0.6674 0.5000
Cl1 Cl 0.0000 0.2808 0.0000
```

Summary:
Magnetization   0.01 μB per formula unit

Record 6
This record from OQMD via LeMat-Bulk describes Zr2ICl5 after structural relaxation. The functional is GGA-PBE.

Cell and atoms, written as CIF:
```
data_Zr2ICl5
_cell_length_a 6.1534
_cell_length_b 11.3950
_cell_length_c 7.0071
_cell_angle_alpha 90.00
_cell_angle_beta 90.00
_cell_angle_gamma 90.00
_symmetry_space_group_name_H-M 'A m m 2'
_symmetry_Int_Tables_number 38
_symmetry_space_group_name_Hall 'A 2 -2'
loop_
_atom_site_label
_atom_site_type_symbol
_atom_site_fract_x
_atom_site_fract_y
_atom_site_fract_z
Zr1 Zr 0.2456 0.0000 0.0000
I1 I 0.0000 0.0000 0.3490
Cl1 Cl 0.0000 0.1535 0.8452
Cl2 Cl 0.5000 0.0000 0.7056
Cl3 Cl 0.5000 0.1587 0.1337
```

Summary:
Magnetization   0.00 μB per formula unit

Record 7
This record from OQMD via LeMat-Bulk describes Zr2ICl after structural relaxation. The functional is GGA-PBE.

Cell and atoms, written as CIF:
```
data_Zr2ICl
_cell_length_a 3.5888
_cell_length_b 3.5888
_cell_length_c 28.8277
_cell_angle_alpha 90.00
_cell_angle_beta 90.00
_cell_angle_gamma 120.00
_symmetry_space_group_name_H-M 'R 3 m'
_symmetry_Int_Tables_number 160
_symmetry_space_group_name_Hall 'R 3 -2"'
loop_
_atom_site_label
_atom_site_type_symbol
_atom_site_fract_x
_atom_site_fract_y
_atom_site_fract_z
Zr1 Zr 0.0000 0.0000 0.0000
Zr2 Zr 0.0000 0.0000 0.2526
I1 I 0.0000 0.0000 0.5131
Cl1 Cl 0.0000 0.0000 0.7259
```

Summary:
Magnetization   0.01 μB per formula unit

Record 8
This record from OQMD via LeMat-Bulk describes Zr2I3Cl3 after structural relaxation. The functional is GGA-PBE.

Cell and atoms, written as CIF:
```
data_Zr2I3Cl3
_cell_length_a 7.0454
_cell_length_b 6.3034
_cell_length_c 7.2876
_cell_angle_alpha 90.00
_cell_angle_beta 117.45
_cell_angle_gamma 90.00
_symmetry_space_group_name_H-M 'P 1 m 1'
_symmetry_Int_Tables_number 6
_symmetry_space_group_name_Hall 'P -2y'
loop_
_atom_site_label
_atom_site_type_symbol
_atom_site_fract_x
_atom_site_fract_y
_atom_site_fract_z
Zr1 Zr 0.0000 0.2471 0.0000
I1 I 0.3417 0.0000 0.3205
I2 I 0.6640 0.5000 0.6750
I3 I 0.9796 0.5000 0.3248
Cl1 Cl 0.0105 0.0000 0.7216
Cl2 Cl 0.2789 0.5000 0.9843
Cl3 Cl 0.7094 0.0000 0.9955
```

Summary:
Magnetization   0.01 μB per formula unit

Record 9
This record from OQMD via LeMat-Bulk describes Zr2I3Cl3 after structural relaxation. The functional is GGA-PBE.

Cell and atoms, written as CIF:
```
data_Zr2I3Cl3
_cell_length_a 6.3091
_cell_length_b 12.6308
_cell_length_c 7.3429
_cell_angle_alpha 90.00
_cell_angle_beta 90.00
_cell_angle_gamma 90.00
_symmetry_space_group_name_H-M 'A m m 2'
_symmetry_Int_Tables_number 38
_symmetry_space_group_name_Hall 'A 2 -2'
loop_
_atom_site_label
_atom_site_type_symbol
_atom_site_fract_x
_atom_site_fract_y
_atom_site_fract_z
Zr1 Zr 0.2459 0.0000 0.0000
I1 I 0.0000 0.1750 0.8599
I2 I 0.5000 0.0000 0.6697
Cl1 Cl 0.0000 0.0000 0.2816
Cl2 Cl 0.5000 0.1338 0.1550
```

Summary:
Magnetization   0.00 μB per formula unit

Record 10
This record from OQMD via LeMat-Bulk describes Rb2InIrCl6 after structural relaxation. The functional is GGA-PBE.

Cell and atoms, written as CIF:
```
data_Rb2InIrCl6
_cell_length_a 10.5098
_cell_length_b 10.5098
_cell_length_c 10.5098
_cell_angle_alpha 90.00
_cell_angle_beta 90.00
_cell_angle_gamma 90.00
_symmetry_space_group_name_H-M 'F m -3 m'
_symmetry_Int_Tables_number 225
_symmetry_space_group_name_Hall '-F 4 2 3'
loop_
_atom_site_label
_atom_site_type_symbol
_atom_site_fract_x
_atom_site_fract_y
_atom_site_fract_z
Rb1 Rb 0.2500 0.2500 0.2500
In1 In 0.0000 0.0000 0.0000
Ir1 Ir 0.0000 0.0000 0.5000
Cl1 Cl 0.0000 0.0000 0.2738
```

Summary:
Magnetization   0.00 μB per formula unit

Record 11
This record from OQMD via LeMat-Bulk describes Tl2InIrCl6 after structural relaxation. The functional is GGA-PBE.

Cell and atoms, written as CIF:
```
data_Tl2InIrCl6
_cell_length_a 10.4080
_cell_length_b 10.4080
_cell_length_c 10.4080
_cell_angle_alpha 90.00
_cell_angle_beta 90.00
_cell_angle_gamma 90.00
_symmetry_space_group_name_H-M 'F m -3 m'
_symmetry_Int_Tables_number 225
_symmetry_space_group_name_Hall '-F 4 2 3'
loop_
_atom_site_label
_atom_site_type_symbol
_atom_site_fract_x
_atom_site_fract_y
_atom_site_fract_z
Tl1 Tl 0.2500 0.2500 0.2500
In1 In 0.0000 0.0000 0.0000
Ir1 Ir 0.0000 0.0000 0.5000
Cl1 Cl 0.0000 0.0000 0.2725
```

Summary:
Magnetization   0.00 μB per formula unit

Record 12
This record from OQMD via LeMat-Bulk describes KZrIn2Cl6 after structural relaxation. The functional is GGA-PBE.

Cell and atoms, written as CIF:
```
data_KZrIn2Cl6
_cell_length_a 10.8851
_cell_length_b 10.8851
_cell_length_c 10.8851
_cell_angle_alpha 90.00
_cell_angle_beta 90.00
_cell_angle_gamma 90.00
_symmetry_space_group_name_H-M 'F m -3 m'
_symmetry_Int_Tables_number 225
_symmetry_space_group_name_Hall '-F 4 2 3'
loop_
_atom_site_label
_atom_site_type_symbol
_atom_site_fract_x
_atom_site_fract_y
_atom_site_fract_z
K1 K 0.0000 0.0000 0.0000
Zr1 Zr 0.0000 0.0000 0.5000
In1 In 0.2500 0.2500 0.2500
Cl1 Cl 0.0000 0.0000 0.2688
```

Summary:
Magnetization   1.00 μB per formula unit

We obtain uncorrected energy values of -5.3837; -4.8506; -4.1020; -4.6515; -4.7419; -5.0784; -6.0336; -4.7418; -4.7420; -3.6164; -3.4861; -3.9390 eV/atom for the records listed above, in that order.